{
  "formula": "Dy2CrF8",
  "functional": "PBE+U",
  "state": "optimized geometry",
  "cell": [[-1.5326, 2.7946, -1.3800], [0.9921, -2.0406, -5.2342], [-5.8020, -3.9906, 2.7332]],
  "species": ["F", "F", "F", "F", "F", "F", "F", "F", "Dy", "Dy", "Cr"],
  "fractional_positions": [[0.3190, 0.0310, 0.6380], [0.0407, 0.8366, 0.0814], [0.7835, 0.6663, 0.5669], [0.2165, 0.3337, 0.4331], [0.6810, 0.9690, 0.3620], [0.9593, 0.1634, 0.9186], [0.4024, 0.5137, 0.8048], [0.5976, 0.4863, 0.1952], [0.1794, 0.6955, 0.3588], [0.8206, 0.3045, 0.6412], [0.5000, 0.0000, 0.0000]],
  "dos_at_fermi_per_ev_fu": 0.00,
  "e_above_lowest_polymorph_ev_per_atom": 0.024,
  "space_group": "C2/m",
  "total_magnetization_mub_per_atom": 0.364
}